A relaxed structure of La2Mg, computed with GGA-PBEsol.

Results
Energy above the lowest structure with this stoichiometry   35.0 meV/atom
Energy relative to the elements   0.00 eV per atom
Magnetization   0.00 Bohr magnetons per cell

Cell lengths 6.7430, 6.7430, 8.3335 Å; angles 106.55, 106.55, 30.56 degrees
Closest atoms and distances in Å follow each position.
Atoms (fractional coordinates):
La  0.0000  0.0000  0.0000  7 La 3.37-3.64, 5 Mg 3.41-3.66
La  0.0257  0.0257  0.5772  8 La 3.47-3.64, 4 Mg 3.48-3.74
La  0.3128  0.3128  0.6830  2 Mg 3.37, 9 La 3.50-3.61
La  0.6505  0.6505  0.3290  8 La 3.37-3.56, 4 Mg 3.52-3.62
Mg  0.3606  0.3606  0.2394  4 Mg 3.19-3.55, 6 La 3.48-3.54
Mg  0.7106  0.7106  0.9443  4 Mg 3.19-3.55, 5 La 3.37-3.52